NdGaOs | PBE | relaxed

Calculated values
E ... -6.548 eV/atom

```
data_NdGaOs
_space_group_name_H-M_alt 'P 1'
_space_group_IT_number 1
_cell_length_a 4.3584
_cell_length_b 4.3584
_cell_length_c 3.9291
_cell_angle_alpha 90.00
_cell_angle_beta 90.00
_cell_angle_gamma 120.00
loop_
_space_group_symop_operation_xyz
'x,y,z'
loop_
_atom_site_label
_atom_site_fract_x
_atom_site_fract_y
_atom_site_fract_z
Nd1 0.0000 0.0000 0.0000
Ga1 0.3333 0.6667 0.5000
Os1 0.6667 0.3333 0.5000
```

=====

U5PSe5 | PBE | relaxed

Calculated values
Raw formation energy ... -1.032 eV/atom
E ... -8.238 eV/atom

```
data_U5PSe5
_space_group_name_H-M_alt 'P 1'
_space_group_IT_number 1
_cell_length_a 6.9151
_cell_length_b 6.9151
_cell_length_c 8.0804
_cell_angle_alpha 107.24
_cell_angle_beta 107.24
_cell_angle_gamma 48.43
loop_
_space_group_symop_operation_xyz
'x,y,z'
loop_
_atom_site_label
_atom_site_fract_x
_atom_site_fract_y
_atom_site_fract_z
U1 0.0000 0.0000 0.0000
U2 0.3352 0.3352 0.1555
U3 0.3387 0.3387 0.6749
U4 0.6613 0.6613 0.3251
U5 0.6648 0.6648 0.8445
P1 0.5000 0.5000 0.0000
Se1 0.1579 0.1579 0.8154
Se2 0.1670 0.1670 0.3385
Se3 0.5000 0.5000 0.5000
Se4 0.8330 0.8330 0.6615
Se5 0.8421 0.8421 0.1846
```

=====

CrNi3 | PBE | relaxed

Calculated values
E ... -6.675 eV/atom

```
data_CrNi3
_space_group_name_H-M_alt 'P 1'
_space_group_IT_number 1
_cell_length_a 4.3124
_cell_length_b 8.1539
_cell_length_c 5.0396
_cell_angle_alpha 90.00
_cell_angle_beta 90.00
_cell_angle_gamma 90.00
loop_
_space_group_symop_operation_xyz
'x,y,z'
loop_
_atom_site_label
_atom_site_fract_x
_atom_site_fract_y
_atom_site_fract_z
Cr1 0.0823 0.2500 0.1171
Cr2 0.4177 0.7500 0.6171
Cr3 0.5823 0.2500 0.3829
Cr4 0.9177 0.7500 0.8829
Ni1 0.0855 0.2500 0.6229
Ni2 0.2504 0.0028 0.3732
Ni3 0.2504 0.4972 0.3732
Ni4 0.2496 0.5028 0.8732
Ni5 0.2496 0.9972 0.8732
Ni6 0.4145 0.7500 0.1229
Ni7 0.5855 0.2500 0.8771
Ni8 0.7504 0.0028 0.1268
Ni9 0.7504 0.4972 0.1268
Ni10 0.7496 0.5028 0.6268
Ni11 0.7496 0.9972 0.6268
Ni12 0.9145 0.7500 0.3771
```

=====

KCu2P | PBE | relaxed

Calculated values
E ... -2.991 eV/atom

```
data_KCu2P
_space_group_name_H-M_alt 'P 1'
_space_group_IT_number 1
_cell_length_a 6.0995
_cell_length_b 8.9610
_cell_length_c 2.6574
_cell_angle_alpha 90.00
_cell_angle_beta 90.00
_cell_angle_gamma 90.00
loop_
_space_group_symop_operation_xyz
'x,y,z'
loop_
_atom_site_label
_atom_site_fract_x
_atom_site_fract_y
_atom_site_fract_z
K1 0.0000 0.0000 0.0000
K2 0.5000 0.5000 0.0000
Cu1 0.2500 0.2500 0.5000
Cu2 0.2500 0.7500 0.5000
Cu3 0.7500 0.2500 0.5000
Cu4 0.7500 0.7500 0.5000
P1 0.0000 0.5000 0.0000
P2 0.5000 0.0000 0.0000
```

=====

Cs2KPtF6 | PBE | relaxed

Calculated values
Raw formation energy ... -2.174 eV/atom
E ... -4.181 eV/atom

```
data_Cs2KPtF6
_space_group_name_H-M_alt 'P 1'
_space_group_IT_number 1
_cell_length_a 11.8163
_cell_length_b 11.8163
_cell_length_c 11.8163
_cell_angle_alpha 32.84
_cell_angle_beta 32.84
_cell_angle_gamma 32.84
loop_
_space_group_symop_operation_xyz
'x,y,z'
loop_
_atom_site_label
_atom_site_fract_x
_atom_site_fract_y
_atom_site_fract_z
Cs1 0.1372 0.1372 0.1372
Cs2 0.2707 0.2707 0.2707
Cs3 0.7293 0.7293 0.7293
Cs4 0.8628 0.8628 0.8628
K1 0.4049 0.4049 0.4049
K2 0.5951 0.5951 0.5951
Pt1 0.0000 0.0000 0.0000
Pt2 0.5000 0.5000 0.5000
F1 0.1496 0.6169 0.6169
F2 0.1757 0.1757 0.7530
F3 0.1757 0.7530 0.1757
F4 0.2470 0.8243 0.8243
F5 0.3831 0.3831 0.8504
F6 0.3831 0.8504 0.3831
F7 0.6169 0.1496 0.6169
F8 0.6169 0.6169 0.1496
F9 0.7530 0.1757 0.1757
F10 0.8243 0.2470 0.8243
F11 0.8243 0.8243 0.2470
F12 0.8504 0.3831 0.3831
```

=====

Na6Tl2Hg | PBE | relaxed

Calculated values
Excess energy over the best structure of this formula in the dataset ... 0.06 eV/f.u.
E ... -1.523 eV/atom

```
data_Na6Tl2Hg
_space_group_name_H-M_alt 'P 1'
_space_group_IT_number 1
_cell_length_a 9.5760
_cell_length_b 9.5760
_cell_length_c 3.2272
_cell_angle_alpha 90.00
_cell_angle_beta 90.00
_cell_angle_gamma 120.00
loop_
_space_group_symop_operation_xyz
'x,y,z'
loop_
_atom_site_label
_atom_site_fract_x
_atom_site_fract_y
_atom_site_fract_z
Na1 0.0000 0.3305 0.0000
Na2 0.0000 0.6695 0.0000
Na3 0.3305 0.0000 0.0000
Na4 0.3305 0.3305 0.0000
Na5 0.6695 0.0000 0.0000
Na6 0.6695 0.6695 0.0000
Tl1 0.3333 0.6667 0.5000
Tl2 0.6667 0.3333 0.5000
Hg1 0.0000 0.0000 0.5000
```

=====

Dy2MgHg | PBE | relaxed

Calculated values
Excess energy over the best structure of this formula in the dataset ... 0.00 eV/f.u.
E ... -3.063 eV/atom

```
data_Dy2MgHg
_space_group_name_H-M_alt 'P 1'
_space_group_IT_number 1
_cell_length_a 5.2486
_cell_length_b 3.7753
_cell_length_c 10.6098
_cell_angle_alpha 90.00
_cell_angle_beta 90.00
_cell_angle_gamma 90.00
loop_
_space_group_symop_operation_xyz
'x,y,z'
loop_
_atom_site_label
_atom_site_fract_x
_atom_site_fract_y
_atom_site_fract_z
Dy1 0.2500 0.0000 0.1170
Dy2 0.2500 0.0000 0.6256
Dy3 0.7500 0.0000 0.3744
Dy4 0.7500 0.0000 0.8830
Mg1 0.2500 0.5000 0.3753
Mg2 0.7500 0.5000 0.6247
Hg1 0.2500 0.5000 0.8592
Hg2 0.7500 0.5000 0.1408
```

=====

HfAg2H | PBE | relaxed

Calculated values
Excess energy over the best structure of this formula in the dataset ... 0.00 eV/f.u.
E ... -4.272 eV/atom

```
data_HfAg2H
_space_group_name_H-M_alt 'P 1'
_space_group_IT_number 1
_cell_length_a 5.8640
_cell_length_b 5.8640
_cell_length_c 7.5930
_cell_angle_alpha 90.00
_cell_angle_beta 90.00
_cell_angle_gamma 90.00
loop_
_space_group_symop_operation_xyz
'x,y,z'
loop_
_atom_site_label
_atom_site_fract_x
_atom_site_fract_y
_atom_site_fract_z
Hf1 0.0000 0.0000 0.0000
Hf2 0.0000 0.5000 0.2500
Hf3 0.5000 0.0000 0.7500
Hf4 0.5000 0.5000 0.5000
Ag1 0.0969 0.2500 0.6250
Ag2 0.2500 0.5969 0.8750
Ag3 0.2500 0.9031 0.3750
Ag4 0.4031 0.2500 0.1250
Ag5 0.5969 0.7500 0.1250
Ag6 0.7500 0.0969 0.3750
Ag7 0.7500 0.4031 0.8750
Ag8 0.9031 0.7500 0.6250
H1 0.0000 0.0000 0.5000
H2 0.0000 0.5000 0.7500
H3 0.5000 0.0000 0.2500
H4 0.5000 0.5000 0.0000
```

=====

Li5Ca2Zn2Ag | PBE | relaxed

Calculated values
E ... -1.996 eV/atom

```
data_Li5Ca2Zn2Ag
_space_group_name_H-M_alt 'P 1'
_space_group_IT_number 1
_cell_length_a 10.0745
_cell_length_b 10.0745
_cell_length_c 4.2358
_cell_angle_alpha 90.00
_cell_angle_beta 90.00
_cell_angle_gamma 90.00
loop_
_space_group_symop_operation_xyz
'x,y,z'
loop_
_atom_site_label
_atom_site_fract_x
_atom_site_fract_y
_atom_site_fract_z
Li1 0.0000 0.5000 0.0000
Li2 0.0583 0.2005 0.0000
Li3 0.2005 0.9417 0.0000
Li4 0.2995 0.4417 0.0000
Li5 0.4417 0.7005 0.0000
Li6 0.5000 0.0000 0.0000
Li7 0.5583 0.2995 0.0000
Li8 0.7005 0.5583 0.0000
Li9 0.7995 0.0583 0.0000
Li10 0.9417 0.7995 0.0000
Ca1 0.1843 0.6843 0.5000
Ca2 0.3157 0.1843 0.5000
Ca3 0.6843 0.8157 0.5000
Ca4 0.8157 0.3157 0.5000
Zn1 0.1088 0.3912 0.5000
Zn2 0.3912 0.8912 0.5000
Zn3 0.6088 0.1088 0.5000
Zn4 0.8912 0.6088 0.5000
Ag1 0.0000 0.0000 0.5000
Ag2 0.5000 0.5000 0.5000
```

=====

HfSc2CdH | PBE | relaxed

Calculated values
Excess energy over the best structure of this formula in the dataset ... 0.00 eV/f.u.
E ... -5.555 eV/atom

```
data_HfSc2CdH
_space_group_name_H-M_alt 'P 1'
_space_group_IT_number 1
_cell_length_a 4.5033
_cell_length_b 4.5033
_cell_length_c 4.4115
_cell_angle_alpha 90.00
_cell_angle_beta 90.00
_cell_angle_gamma 90.00
loop_
_space_group_symop_operation_xyz
'x,y,z'
loop_
_atom_site_label
_atom_site_fract_x
_atom_site_fract_y
_atom_site_fract_z
Hf1 0.0000 0.0000 0.0000
Sc1 0.0000 0.5000 0.5000
Sc2 0.5000 0.0000 0.5000
Cd1 0.5000 0.5000 0.0000
H1 0.0000 0.0000 0.5000
```

=====

KTcHgCl6 | PBE | relaxed

Calculated values
Raw formation energy ... -0.871 eV/atom
E ... -3.410 eV/atom

```
data_KTcHgCl6
_space_group_name_H-M_alt 'P 1'
_space_group_IT_number 1
_cell_length_a 7.3905
_cell_length_b 7.3905
_cell_length_c 11.1486
_cell_angle_alpha 90.00
_cell_angle_beta 90.00
_cell_angle_gamma 120.00
loop_
_space_group_symop_operation_xyz
'x,y,z'
loop_
_atom_site_label
_atom_site_fract_x
_atom_site_fract_y
_atom_site_fract_z
K1 0.3333 0.6667 0.2500
K2 0.6667 0.3333 0.7500
Tc1 0.3333 0.6667 0.7500
Tc2 0.6667 0.3333 0.2500
Hg1 0.0000 0.0000 0.0000
Hg2 0.0000 0.0000 0.5000
Cl1 0.0732 0.4040 0.6258
Cl2 0.0732 0.6691 0.8742
Cl3 0.3309 0.4040 0.8742
Cl4 0.3309 0.9268 0.6258
Cl5 0.4040 0.0732 0.1258
Cl6 0.4040 0.3309 0.3742
Cl7 0.5960 0.6691 0.6258
Cl8 0.5960 0.9268 0.8742
Cl9 0.6691 0.0732 0.3742
Cl10 0.6691 0.5960 0.1258
Cl11 0.9268 0.3309 0.1258
Cl12 0.9268 0.5960 0.3742
```

=====

LiY3Er3Te8 | PBE | relaxed

Calculated values
Raw formation energy ... -1.316 eV/atom
E ... -5.325 eV/atom

```
data_LiY3Er3Te8
_space_group_name_H-M_alt 'P 1'
_space_group_IT_number 1
_cell_length_a 8.6534
_cell_length_b 8.6534
_cell_length_c 8.6534
_cell_angle_alpha 59.96
_cell_angle_beta 59.96
_cell_angle_gamma 59.96
loop_
_space_group_symop_operation_xyz
'x,y,z'
loop_
_atom_site_label
_atom_site_fract_x
_atom_site_fract_y
_atom_site_fract_z
Li1 0.0000 0.0000 0.0000
Y1 0.0000 0.0000 0.5000
Y2 0.0000 0.5000 0.0000
Y3 0.5000 0.0000 0.0000
Er1 0.0000 0.5000 0.5000
Er2 0.5000 0.0000 0.5000
Er3 0.5000 0.5000 0.0000
Te1 0.2494 0.2494 0.7482
Te2 0.2494 0.7482 0.2494
Te3 0.2511 0.2511 0.2511
Te4 0.2518 0.7506 0.7506
Te5 0.7482 0.2494 0.2494
Te6 0.7489 0.7489 0.7489
Te7 0.7506 0.2518 0.7506
Te8 0.7506 0.7506 0.2518
```

=====

AsRu2Se | PBE | relaxed

Calculated values
Raw formation energy ... 0.427 eV/atom
Excess energy over the best structure of this formula in the dataset ... 1.89 eV/f.u.
E ... -6.245 eV/atom

```
data_AsRu2Se
_space_group_name_H-M_alt 'P 1'
_space_group_IT_number 1
_cell_length_a 3.0351
_cell_length_b 5.1790
_cell_length_c 8.1787
_cell_angle_alpha 90.00
_cell_angle_beta 90.00
_cell_angle_gamma 90.00
loop_
_space_group_symop_operation_xyz
'x,y,z'
loop_
_atom_site_label
_atom_site_fract_x
_atom_site_fract_y
_atom_site_fract_z
As1 0.0000 0.0000 0.0000
As2 0.5000 0.5000 0.0000
Ru1 0.0000 0.5000 0.2305
Ru2 0.0000 0.5000 0.7695
Ru3 0.5000 0.0000 0.2305
Ru4 0.5000 0.0000 0.7695
Se1 0.0000 0.0000 0.5000
Se2 0.5000 0.5000 0.5000
```

=====

Sc4CrGa2 | PBE | relaxed

Calculated values
E ... -5.683 eV/atom

```
data_Sc4CrGa2
_space_group_name_H-M_alt 'P 1'
_space_group_IT_number 1
_cell_length_a 4.5446
_cell_length_b 4.5446
_cell_length_c 14.9723
_cell_angle_alpha 90.00
_cell_angle_beta 90.00
_cell_angle_gamma 90.00
loop_
_space_group_symop_operation_xyz
'x,y,z'
loop_
_atom_site_label
_atom_site_fract_x
_atom_site_fract_y
_atom_site_fract_z
Sc1 0.0000 0.0000 0.1773
Sc2 0.0000 0.0000 0.8227
Sc3 0.0000 0.5000 0.0000
Sc4 0.0000 0.5000 0.5000
Sc5 0.5000 0.0000 0.0000
Sc6 0.5000 0.0000 0.5000
Sc7 0.5000 0.5000 0.3227
Sc8 0.5000 0.5000 0.6773
Cr1 0.0000 0.0000 0.0000
Cr2 0.5000 0.5000 0.5000
Ga1 0.0000 0.0000 0.3660
Ga2 0.0000 0.0000 0.6340
Ga3 0.5000 0.5000 0.1340
Ga4 0.5000 0.5000 0.8660
```

=====

CoNiCl2 | PBE | relaxed

Calculated values
Raw formation energy ... 0.244 eV/atom
Excess energy over the best structure of this formula in the dataset ... 1.59 eV/f.u.
E ... -3.901 eV/atom

```
data_CoNiCl2
_space_group_name_H-M_alt 'P 1'
_space_group_IT_number 1
_cell_length_a 3.1375
_cell_length_b 3.5233
_cell_length_c 6.2069
_cell_angle_alpha 90.00
_cell_angle_beta 90.00
_cell_angle_gamma 90.00
loop_
_space_group_symop_operation_xyz
'x,y,z'
loop_
_atom_site_label
_atom_site_fract_x
_atom_site_fract_y
_atom_site_fract_z
Co1 0.0000 0.0000 0.0000
Ni1 0.5000 0.0000 0.5000
Cl1 0.0000 0.5000 0.5000
Cl2 0.5000 0.5000 0.0000
```

=====

TaNi2W | PBE | relaxed

Calculated values
E ... -9.158 eV/atom

```
data_TaNi2W
_space_group_name_H-M_alt 'P 1'
_space_group_IT_number 1
_cell_length_a 2.6857
_cell_length_b 4.3376
_cell_length_c 4.7857
_cell_angle_alpha 90.00
_cell_angle_beta 94.93
_cell_angle_gamma 90.00
loop_
_space_group_symop_operation_xyz
'x,y,z'
loop_
_atom_site_label
_atom_site_fract_x
_atom_site_fract_y
_atom_site_fract_z
Ta1 0.0000 0.0000 0.0000
Ni1 0.4140 0.5000 0.8262
Ni2 0.4254 0.0000 0.5164
W1 0.8256 0.5000 0.3549
```

=====

Mo2RuS | PBE | relaxed

Calculated values
Raw formation energy ... 0.598 eV/atom
E ... -8.168 eV/atom

```
data_Mo2RuS
_space_group_name_H-M_alt 'P 1'
_space_group_IT_number 1
_cell_length_a 5.7146
_cell_length_b 5.7146
_cell_length_c 9.9059
_cell_angle_alpha 90.00
_cell_angle_beta 90.00
_cell_angle_gamma 90.00
loop_
_space_group_symop_operation_xyz
'x,y,z'
loop_
_atom_site_label
_atom_site_fract_x
_atom_site_fract_y
_atom_site_fract_z
Mo1 0.2376 0.2500 0.1250
Mo2 0.2500 0.7376 0.3750
Mo3 0.2500 0.7624 0.8750
Mo4 0.2624 0.2500 0.6250
Mo5 0.7376 0.7500 0.6250
Mo6 0.7500 0.2376 0.8750
Mo7 0.7500 0.2624 0.3750
Mo8 0.7624 0.7500 0.1250
Ru1 0.0000 0.0000 0.5000
Ru2 0.0000 0.5000 0.7500
Ru3 0.5000 0.0000 0.2500
Ru4 0.5000 0.5000 0.0000
S1 0.0000 0.0000 0.0000
S2 0.0000 0.5000 0.2500
S3 0.5000 0.0000 0.7500
S4 0.5000 0.5000 0.5000
```

=====

Dy5Y2Sc | PBE | relaxed

Calculated values
Excess energy over the best structure of this formula in the dataset ... 0.12 eV/f.u.
E ... -5.252 eV/atom

```
data_Dy5Y2Sc
_space_group_name_H-M_alt 'P 1'
_space_group_IT_number 1
_cell_length_a 7.0327
_cell_length_b 14.0767
_cell_length_c 4.9599
_cell_angle_alpha 90.00
_cell_angle_beta 90.00
_cell_angle_gamma 90.00
loop_
_space_group_symop_operation_xyz
'x,y,z'
loop_
_atom_site_label
_atom_site_fract_x
_atom_site_fract_y
_atom_site_fract_z
Dy1 0.0000 0.0000 0.0000
Dy2 0.0001 0.2522 0.0000
Dy3 0.9999 0.7478 0.0000
Dy4 0.2485 0.3762 0.5000
Dy5 0.2515 0.8762 0.5000
Dy6 0.5001 0.2478 0.0000
Dy7 0.5000 0.5000 0.0000
Dy8 0.4999 0.7522 0.0000
Dy9 0.7485 0.1238 0.5000
Dy10 0.7515 0.6238 0.5000
Y1 0.2486 0.6234 0.5000
Y2 0.2514 0.1234 0.5000
Y3 0.7486 0.8766 0.5000
Y4 0.7514 0.3766 0.5000
Sc1 0.0000 0.5000 0.0000
Sc2 0.5000 0.0000 0.0000
```